# 1
Compound: P2PbNCl
Source: Alexandria via LeMat-Bulk
Functional: PBE
Structure: relaxed

## Properties
Formation energy from raw total energies   863.1 kJ/mol of formula units
E above lowest polymorph   1084 meV per atom
Spin magnetization   5.937 μB/cell

Cell lengths 5.481, 5.481, 5.618 Å; angles 90.00, 90.00, 90.00 degrees
Each line ends with the local moment (μB).
Atoms (fractional coordinates):
Cl 0.000 0.000 0.500  0.12
Pb 0.000 0.000 0.000  -0.02
P 0.500 0.000 0.000  0.62
N 0.500 0.500 0.500  1.92
P 0.000 0.500 0.000  0.62

=====

# 2
Compound: Tb4Pr5Sm
Source: Alexandria via LeMat-Bulk
Functional: PBE
Structure: relaxed

## Properties
E above lowest polymorph   0 meV per atom
Calculated formation energy   0.014 eV per atom
Spin magnetization   0.000 μB/cell

Cell lengths 3.651, 10.309, 9.626 Å; angles 105.86, 100.90, 89.97 degrees
Atoms (fractional coordinates):
Pr 0.700 0.600 0.401
Pr 0.300 0.400 0.599
Tb 0.300 0.900 0.600
Tb 0.899 0.704 0.799
Sm 0.500 0.000 0.000
Pr 0.500 0.500 0.000
Tb 0.700 0.100 0.400
Pr 0.900 0.196 0.799
Pr 0.100 0.804 0.201
Tb 0.101 0.296 0.201